Computed, not measured: a relaxed Pr5Nd6Sm2 crystal at the GGA-PBE level of DFT.

Values from the calculation:
E_form	86	meV/atom
symmetry	Pbam, No. 55
total magnetization	0.00	μB/cell

Lattice parameters (Å, degrees): 3.6921 11.9640 21.1249 90.00 90.00 90.00
With the nearest neighbours (Å) after each atom.
Sites, in units of the cell vectors:
Pr  0.5000  0.3012  0.4445  6 Nd 3.64-3.74, 3 Pr 3.69-3.79, 2 Sm 3.85
Pr  0.5000  0.6988  0.5555  6 Nd 3.64-3.74, 3 Pr 3.69-3.79, 2 Sm 3.85
Pr  0.5000  0.8012  0.0555  6 Nd 3.64-3.74, 3 Pr 3.69-3.79, 2 Sm 3.85
Pr  0.5000  0.1988  0.9445  6 Nd 3.64-3.74, 3 Pr 3.69-3.79, 2 Sm 3.85
Pr  0.5000  0.5825  0.2764  5 Nd 3.42-3.60, 4 Sm 3.59-3.68, 2 Pr 3.69
Pr  0.5000  0.4175  0.7236  5 Nd 3.42-3.60, 4 Sm 3.59-3.68, 2 Pr 3.69
Pr  0.5000  0.0825  0.2236  5 Nd 3.42-3.60, 4 Sm 3.59-3.68, 2 Pr 3.69
Pr  0.5000  0.9175  0.7764  5 Nd 3.42-3.60, 4 Sm 3.59-3.68, 2 Pr 3.69
Pr  0.5000  0.5000  0.0000  6 Nd 3.50-3.55, 4 Pr 3.69-3.79
Pr  0.5000  0.0000  0.5000  6 Nd 3.50-3.55, 4 Pr 3.69-3.79
Nd  0.0000  0.0781  0.3663  1 Sm 3.41, 6 Pr 3.50-3.64, 4 Nd 3.59-3.69
Nd  0.0000  0.9219  0.6337  1 Sm 3.41, 6 Pr 3.50-3.64, 4 Nd 3.59-3.69
Nd  0.0000  0.5781  0.1337  1 Sm 3.41, 6 Pr 3.50-3.64, 4 Nd 3.59-3.69
Nd  0.0000  0.4219  0.8663  1 Sm 3.41, 6 Pr 3.50-3.64, 4 Nd 3.59-3.69
Nd  0.5000  0.3211  0.1341  2 Pr 3.42-3.55, 6 Nd 3.59-3.79, 2 Sm 3.69
Nd  0.5000  0.6789  0.8659  2 Pr 3.42-3.55, 6 Nd 3.59-3.79, 2 Sm 3.69
Nd  0.5000  0.8211  0.3659  2 Pr 3.42-3.55, 6 Nd 3.59-3.79, 2 Sm 3.69
Nd  0.5000  0.1789  0.6341  2 Pr 3.42-3.55, 6 Nd 3.59-3.79, 2 Sm 3.69
Nd  0.0000  0.5627  0.4222  6 Pr 3.60-3.74, 5 Nd 3.61-3.79
Nd  0.0000  0.4373  0.5778  6 Pr 3.60-3.74, 5 Nd 3.61-3.79
Nd  0.0000  0.0627  0.0778  6 Pr 3.60-3.74, 5 Nd 3.61-3.79
Nd  0.0000  0.9373  0.9222  6 Pr 3.60-3.74, 5 Nd 3.61-3.79
Sm  0.0000  0.3252  0.2854  3 Nd 3.41-3.69, 4 Pr 3.59-3.68, 2 Sm 3.69
Sm  0.0000  0.6748  0.7146  3 Nd 3.41-3.69, 4 Pr 3.59-3.68, 2 Sm 3.69
Sm  0.0000  0.8252  0.2146  3 Nd 3.41-3.69, 4 Pr 3.59-3.68, 2 Sm 3.69
Sm  0.0000  0.1748  0.7854  3 Nd 3.41-3.69, 4 Pr 3.59-3.68, 2 Sm 3.69